Entry 1:
Computed, not measured: crystalline BaSn3Sb at its relaxed geometry at the PBE level of DFT. Values from VASP.

Quantum ESPRESSO input file:
```
&SYSTEM
  ibrav = 0, nat = 5, ntyp = 3
/
ATOMIC_SPECIES
Sb 121.76 Sb.upf
Ba 137.33 Ba.upf
Sn 118.71 Sn.upf
CELL_PARAMETERS angstrom
-0.4821 -4.2735 3.9069
-2.9934 -3.1720 -3.8390
4.9565 -2.3313 -1.9385
ATOMIC_POSITIONS crystal
Sb 0.0000 0.0000 0.0000
Ba 0.5000 0.5000 0.5000
Sn 0.0000 0.5000 0.0000
Sn 0.0000 0.0000 0.5000
Sn 0.5000 0.0000 0.0000
```

Results
Electronic total energy: -17.49 eV per formula unit
Magnetization: 0.00 μB/f.u.
Uncorrected formation energy: 0.113 eV/atom

Entry 2:
Computed, not measured: crystalline Pa2HgRh3 at its relaxed geometry at the PBE level of DFT. Values from VASP.

Quantum ESPRESSO input file:
```
&SYSTEM
  ibrav = 0, nat = 24, ntyp = 3
/
ATOMIC_SPECIES
Pa 231.04 Pa.upf
Hg 200.59 Hg.upf
Rh 102.91 Rh.upf
CELL_PARAMETERS angstrom
7.9137 0.0000 4.5690
2.6379 7.4612 4.5690
0.0000 0.0000 9.1380
ATOMIC_POSITIONS crystal
Pa 0.2727 0.2727 0.2727
Pa 0.2727 0.6818 0.2727
Pa 0.6818 0.2727 0.2727
Pa 0.2727 0.2727 0.6818
Pa 0.7273 0.3182 0.7273
Pa 0.7273 0.7273 0.7273
Pa 0.3182 0.7273 0.7273
Pa 0.7273 0.7273 0.3182
Hg 0.0000 0.0000 0.0000
Hg 0.0000 0.5000 0.0000
Hg 0.5000 0.0000 0.0000
Hg 0.0000 0.0000 0.5000
Rh 0.3808 0.3808 0.8692
Rh 0.8692 0.8692 0.3808
Rh 0.8692 0.3808 0.3808
Rh 0.3808 0.8692 0.8692
Rh 0.3808 0.8692 0.3808
Rh 0.8692 0.3808 0.8692
Rh 0.6192 0.1308 0.1308
Rh 0.1308 0.6192 0.6192
Rh 0.1308 0.1308 0.6192
Rh 0.6192 0.6192 0.1308
Rh 0.6192 0.1308 0.6192
Rh 0.1308 0.6192 0.1308
```

Results
Electronic total energy: -43.34 eV per formula unit
Magnetization: 0.00 μB/f.u.
Calculated formation energy: -0.331 eV/atom

Entry 3:
Computed, not measured: crystalline ZrNb2VC4 at its relaxed geometry at the PBE level of DFT. Values from VASP.

Quantum ESPRESSO input file:
```
&SYSTEM
  ibrav = 0, nat = 16, ntyp = 4
/
ATOMIC_SPECIES
Zr 91.22 Zr.upf
Nb 92.91 Nb.upf
V 50.94 V.upf
C 12.01 C.upf
CELL_PARAMETERS angstrom
-2.9156 -0.5649 1.0272
2.5069 -5.1388 -0.5169
3.5734 0.6850 10.5198
ATOMIC_POSITIONS crystal
Zr 0.1221 0.2442 0.7500
Zr 0.8779 0.7558 0.2500
Nb 0.3682 0.7365 0.5350
Nb 0.6318 0.2636 0.0350
Nb 0.6318 0.2636 0.4650
Nb 0.3682 0.7365 0.9650
V 0.8566 0.7133 0.7500
V 0.1434 0.2867 0.2500
C 0.2613 0.5226 0.1225
C 0.7387 0.4774 0.6225
C 0.7387 0.4774 0.8775
C 0.2613 0.5226 0.3775
C 0.0000 0.0000 0.5000
C 0.0000 0.0000 0.0000
C 0.4644 0.9288 0.7500
C 0.5356 0.0712 0.2500
```

Results
Electronic total energy: -77.16 eV per formula unit
Magnetization: 0.00 μB/f.u.
Calculated formation energy: -0.307 eV/atom

Entry 4:
Computed, not measured: crystalline Tl2BiOsF at its relaxed geometry at the PBE level of DFT. Values from VASP.

Quantum ESPRESSO input file:
```
&SYSTEM
  ibrav = 0, nat = 5, ntyp = 4
/
ATOMIC_SPECIES
Tl 204.38 Tl.upf
Os 190.23 Os.upf
Bi 208.98 Bi.upf
F 19.00 F.upf
CELL_PARAMETERS angstrom
-3.9110 -2.8859 -2.6907
-1.6267 -1.0427 3.4828
-3.2280 4.5189 -0.1548
ATOMIC_POSITIONS crystal
Tl 0.0000 0.0000 0.5000
Tl 0.5000 0.0000 0.0000
Os 0.0000 0.0000 0.0000
Bi 0.5000 0.5000 0.5000
F 0.0000 0.5000 0.0000
```

Results
Electronic total energy: -20.69 eV per formula unit
Magnetization: 0.00 μB/f.u.
Uncorrected formation energy: 0.205 eV/atom